[1]
DFT (PBE-GGA) results for an optimized crystal structure of TlSiTe2.

Computed properties:
**Calculated density**: 7.508 g/cm3
**Total energy**: -12.44 eV per cell

Lattice parameters (Å, degrees): 3.7684 5.1737 5.5319 90.00 90.00 90.00
Space group Pmmm (No. 47)
Unique sites:
Tl1 0.0000 0.0000 0.0000 [1 per cell]
Si1 0.5000 0.5000 0.0000 [1 per cell]
Te1 0.0000 0.5000 0.5000 [1 per cell]
Te2 0.5000 0.0000 0.5000 [1 per cell]

***

[2]
DFT (PBE-GGA) results for an optimized crystal structure of TlSiTe2.

Computed properties:
**Calculated density**: 7.483 g/cm3
**Total energy**: -48.77 eV per cell

Lattice parameters (Å, degrees): 7.5648 7.5648 7.5648 90.00 90.00 90.00
Space group F-43m (No. 216)
Unique sites:
Tl1 0.0000 0.0000 0.0000 [4 per cell]
Si1 0.2500 0.2500 0.2500 [4 per cell]
Te1 0.0000 0.0000 0.5000 [4 per cell]
Te2 0.2500 0.2500 0.7500 [4 per cell]

***

[3]
DFT (PBE-GGA) results for an optimized crystal structure of Tm6TlSi2Te3.

Computed properties:
**Calculated density**: 8.432 g/cm3
**Total energy**: -121.10 eV per cell

Lattice parameters (Å, degrees): 18.6542 4.1692 8.6696 90.00 104.57 90.00
Space group C2/m (No. 12)
Unique sites:
Tm1 0.0107 0.0000 0.2559 [4 per cell]
Tm2 0.1687 0.5000 0.1103 [4 per cell]
Tm3 0.1756 0.5000 0.5635 [4 per cell]
Tl1 0.0000 0.5000 0.0000 [2 per cell]
Si1 0.1673 0.0000 0.3344 [4 per cell]
Te1 0.0000 0.5000 0.5000 [2 per cell]
Te2 0.1640 0.0000 0.8313 [4 per cell]

***

[4]
DFT (PBE-GGA) results for an optimized crystal structure of TlZnSi2Te6.

Computed properties:
**Calculated density**: 5.210 g/cm3
**Total energy**: -135.86 eV per cell

Lattice parameters (Å, degrees): 15.0894 13.7511 7.3893 90.00 114.82 90.00
Space group C2/c (No. 15)
Unique sites:
Tl1 0.0000 0.2248 0.2500 [4 per cell]
Zn1 0.0000 0.1916 0.7500 [4 per cell]
Si1 0.2164 0.4198 0.2097 [8 per cell]
Te1 0.0993 0.0688 0.6094 [8 per cell]
Te2 0.1383 0.4437 0.4564 [8 per cell]
Te3 0.1603 0.2459 0.0819 [8 per cell]

***

Copy entry 3 word for word.
DFT (PBE-GGA) results for an optimized crystal structure of Tm6TlSi2Te3.

Computed properties:
**Calculated density**: 8.432 g/cm3
**Total energy**: -121.10 eV per cell

Lattice parameters (Å, degrees): 18.6542 4.1692 8.6696 90.00 104.57 90.00
Space group C2/m (No. 12)
Unique sites:
Tm1 0.0107 0.0000 0.2559 [4 per cell]
Tm2 0.1687 0.5000 0.1103 [4 per cell]
Tm3 0.1756 0.5000 0.5635 [4 per cell]
Tl1 0.0000 0.5000 0.0000 [2 per cell]
Si1 0.1673 0.0000 0.3344 [4 per cell]
Te1 0.0000 0.5000 0.5000 [2 per cell]
Te2 0.1640 0.0000 0.8313 [4 per cell]